P | First-principles (PBE-GGA) data for a relaxed structure of Mn2Hg2Os, as listed in the Alexandria database.

Unit cell a=7.4440 b=7.4440 c=3.1507 alpha=90.00 beta=90.00 gamma=90.00
Closest atoms and distances in Å follow each position.
Atoms (fractional coordinates):
1 Mn 0.1701 0.6701 0.5000  6 Hg 2.59-2.77
2 Mn 0.6701 0.8299 0.5000  6 Hg 2.59-2.77
3 Mn 0.8299 0.3299 0.5000  6 Hg 2.59-2.77
4 Mn 0.3299 0.1701 0.5000  6 Hg 2.59-2.77
5 Os 0.0000 0.0000 0.0000  4 Hg 2.90, 2 Os 3.15, 8 Mn 3.18
6 Os 0.5000 0.5000 0.0000  4 Hg 2.90, 2 Os 3.15, 8 Mn 3.18
7 Hg 0.3658 0.8658 0.0000  6 Mn 2.59-2.77, 1 Hg 2.83, 2 Os 2.90
8 Hg 0.8658 0.6342 0.0000  6 Mn 2.59-2.77, 1 Hg 2.83, 2 Os 2.90
9 Hg 0.6342 0.1342 0.0000  6 Mn 2.59-2.77, 1 Hg 2.83, 2 Os 2.90
10 Hg 0.1342 0.3658 0.0000  6 Mn 2.59-2.77, 1 Hg 2.83, 2 Os 2.90

Properties
SG: P4/mbm (127)

Q | First-principles (PBE-GGA) data for a relaxed structure of Mn2Hg2Os, as listed in the Alexandria database.

Unit cell a=3.0860 b=3.0860 c=8.9241 alpha=80.04 beta=80.04 gamma=90.00
Closest atoms and distances in Å follow each position.
Atoms (fractional coordinates):
1 Mn 0.7500 0.2500 0.5000  4 Mn 2.18
2 Mn 0.2500 0.7500 0.5000  4 Mn 2.18
3 Os 0.0000 0.0000 0.0000  8 Hg 2.91, 4 Os 3.09
4 Hg 0.3885 0.3885 0.2230  4 Mn 2.85, 4 Os 2.91, 4 Hg 3.09
5 Hg 0.6115 0.6115 0.7770  4 Mn 2.85, 4 Os 2.91, 4 Hg 3.09

Properties
SG: I4/mmm (139)

Energy above the most stable structure, in kJ/mol of atoms: P 0.0; Q 20.3

P | First-principles (PBE-GGA) data for a relaxed structure of MnHgP3, as listed in the Alexandria database.

Unit cell a=4.9105 b=4.9105 c=4.9105 alpha=90.00 beta=90.00 gamma=90.00
Closest atoms and distances in Å follow each position.
Atoms (fractional coordinates):
1 P 0.0000 0.5000 0.0000  2 Hg 2.46
2 P 0.0000 0.0000 0.5000  2 Hg 2.46
3 P 0.5000 0.0000 0.0000  2 Hg 2.46
4 Mn 0.5000 0.5000 0.5000  12 P 3.47
5 Hg 0.0000 0.0000 0.0000  6 P 2.46

Properties
SG: Pm-3m (221)

Q | First-principles (PBE-GGA) data for a relaxed structure of MnHgP3, as listed in the Alexandria database.

Unit cell a=4.4784 b=4.4784 c=4.4784 alpha=90.00 beta=90.00 gamma=90.00
Closest atoms and distances in Å follow each position.
Atoms (fractional coordinates):
1 P 0.0000 0.5000 0.0000  2 Mn 2.24
2 P 0.0000 0.0000 0.5000  2 Mn 2.24
3 P 0.5000 0.0000 0.0000  2 Mn 2.24
4 Mn 0.0000 0.0000 0.0000  6 P 2.24
5 Hg 0.5000 0.5000 0.5000  12 P 3.17

Properties
SG: Pm-3m (221)

Energy above the most stable structure, in kJ/mol of atoms: P 151.1; Q 0.0

P | First-principles (PBE-GGA) data for a relaxed structure of MnHg3P, as listed in the Alexandria database.

Unit cell a=5.2172 b=5.2172 c=5.2172 alpha=90.00 beta=90.00 gamma=90.00
Closest atoms and distances in Å follow each position.
Atoms (fractional coordinates):
1 P 0.5000 0.5000 0.5000  12 Hg 3.69
2 Mn 0.0000 0.0000 0.0000  6 Hg 2.61
3 Hg 0.0000 0.5000 0.0000  2 Mn 2.61
4 Hg 0.0000 0.0000 0.5000  2 Mn 2.61
5 Hg 0.5000 0.0000 0.0000  2 Mn 2.61

Properties
SG: Pm-3m (221)

Q | First-principles (PBE-GGA) data for a relaxed structure of MnHg3P, as listed in the Alexandria database.

Unit cell a=5.1280 b=5.1280 c=5.1280 alpha=90.00 beta=90.00 gamma=90.00
Closest atoms and distances in Å follow each position.
Atoms (fractional coordinates):
1 P 0.0000 0.0000 0.0000  6 Hg 2.56
2 Mn 0.5000 0.5000 0.5000  12 Hg 3.63
3 Hg 0.0000 0.5000 0.0000  2 P 2.56
4 Hg 0.0000 0.0000 0.5000  2 P 2.56
5 Hg 0.5000 0.0000 0.0000  2 P 2.56

Properties
SG: Pm-3m (221)

Energy above the most stable structure, in kJ/mol of atoms: P 15.8; Q 0.0